Record 1
NaBeSn2Ru: optimized geometry, PBE.

## Properties
Energy of formation (eV per formula unit): 0.844
V (Å³ per atom): 25.673
ρ (g/cm3): 4.8
E_tot (eV/atom): -4.30
Total moment (μB/f.u.): 0.0

Cell lengths 5.2767, 5.2767, 4.6102 Å; angles 90.00, 90.00, 90.00 degrees
Positions (direct):
Na (0.0000, 0.0000, 0.0000)
Be (0.5000, 0.5000, 0.0000)
Sn (0.0000, 0.5000, 0.5000)
Sn (0.5000, 0.0000, 0.5000)
Ru (0.5000, 0.5000, 0.5000)

Record 2
TiInIrPb2: optimized geometry, PBE.

## Properties
Energy of formation (eV per formula unit): 2.150
V (Å³ per atom): 29.937
ρ (g/cm3): 8.5
E_tot (eV/atom): -4.95
Total moment (μB/f.u.): 0.0

Cell lengths 5.3741, 5.3741, 5.1828 Å; angles 90.00, 90.00, 90.00 degrees
Positions (direct):
Ti (0.0000, 0.0000, 0.0000)
In (0.5000, 0.5000, 0.0000)
Ir (0.0000, 0.0000, 0.5000)
Pb (0.0000, 0.5000, 0.5000)
Pb (0.5000, 0.0000, 0.5000)

Repeat the first record exactly.
NaBeSn2Ru: optimized geometry, PBE.

## Properties
Energy of formation (eV per formula unit): 0.844
V (Å³ per atom): 25.673
ρ (g/cm3): 4.8
E_tot (eV/atom): -4.30
Total moment (μB/f.u.): 0.0

Cell lengths 5.2767, 5.2767, 4.6102 Å; angles 90.00, 90.00, 90.00 degrees
Positions (direct):
Na (0.0000, 0.0000, 0.0000)
Be (0.5000, 0.5000, 0.0000)
Sn (0.0000, 0.5000, 0.5000)
Sn (0.5000, 0.0000, 0.5000)
Ru (0.5000, 0.5000, 0.5000)

Repeat the first record exactly.
NaBeSn2Ru: optimized geometry, PBE.

## Properties
Energy of formation (eV per formula unit): 0.844
V (Å³ per atom): 25.673
ρ (g/cm3): 4.8
E_tot (eV/atom): -4.30
Total moment (μB/f.u.): 0.0

Cell lengths 5.2767, 5.2767, 4.6102 Å; angles 90.00, 90.00, 90.00 degrees
Positions (direct):
Na (0.0000, 0.0000, 0.0000)
Be (0.5000, 0.5000, 0.0000)
Sn (0.0000, 0.5000, 0.5000)
Sn (0.5000, 0.0000, 0.5000)
Ru (0.5000, 0.5000, 0.5000)